Record 1
LaP2Br: relaxed, GGA-PBE.

Cell: 5.887 5.887 5.887 Å, 51.41 51.41 51.41°
Sites, in units of the cell vectors:
P1 0.422 0.422 0.422
Br1 0.250 0.250 0.250
La1 0.750 0.750 0.750
P2 0.078 0.078 0.078

## Properties
**E**: -4.59 eV per atom
**Space-group type**: R-3m (166)
**Raw formation energy**: -92 kJ/mol of formula units
**Total moment**: 0.0 μB per cell



Record 2
CaPrEr2Tl4: relaxed, GGA-PBE.

Cell: 5.413 5.413 9.458 Å, 73.37 73.37 60.00°
Sites, in units of the cell vectors:
Er1 0.752 0.752 0.744
Er2 0.248 0.248 0.256
Pr1 0.000 0.000 0.000
Tl1 0.874 0.874 0.378
Tl2 0.624 0.624 0.127
Ca1 0.500 0.500 0.500
Tl3 0.376 0.376 0.873
Tl4 0.126 0.126 0.622

## Properties
**E**: -3.53 eV per atom
**Space-group type**: R-3m (166)
**Calculated formation energy**: -34.3 kJ per mole of atoms
**Total moment**: 0.0 μB per cell